A relaxed structure of ScBiSbI2, computed with PBEsol.

The structure in extended XYZ format:
```
5
Lattice="5.399 0.000 0.000 0.000 5.399 0.000 0.000 0.000 5.817" Properties=species:S:1:pos:R:3 pbc="T T T"
I 0.000 2.700 0.000
I 2.700 0.000 0.000
Sb 0.000 0.000 2.908
Sc 0.000 0.000 0.000
Bi 2.700 2.700 2.908
```

Computed properties:
Formation energy without anion corrections ... -0.141 eV/atom
N(E_F) ... 0.661 states/eV per atom
SG ... P4/mmm



A relaxed structure of SnBiSb2I, computed with PBEsol.

The structure in extended XYZ format:
```
5
Lattice="5.823 0.000 0.000 0.000 5.823 0.000 0.000 0.000 5.810" Properties=species:S:1:pos:R:3 pbc="T T T"
I 0.000 0.000 2.905
Sb 0.000 2.911 0.000
Sb 2.911 0.000 0.000
Bi 0.000 0.000 0.000
Sn 2.911 2.911 2.905
```

Computed properties:
Formation energy without anion corrections ... 0.736 eV/atom
N(E_F) ... 1.175 states/eV per atom
SG ... P4/mmm



A relaxed structure of TaBiSbI2, computed with PBEsol.

The structure in extended XYZ format:
```
5
Lattice="5.298 0.000 0.000 0.000 5.298 0.000 0.000 0.000 5.588" Properties=species:S:1:pos:R:3 pbc="T T T"
I 0.000 2.649 0.000
I 2.649 0.000 0.000
Sb 0.000 0.000 2.794
Bi 2.649 2.649 2.794
Ta 0.000 0.000 0.000
```

Computed properties:
Formation energy without anion corrections ... 0.512 eV/atom
N(E_F) ... 1.316 states/eV per atom
SG ... P4/mmm



A relaxed structure of Sc2BiI, computed with PBEsol.

The structure in extended XYZ format:
```
4
Lattice="-0.680 -4.496 0.199 1.357 -2.661 -3.434 7.295 -3.299 2.424" Properties=species:S:1:pos:R:3 pbc="T T T"
I 0.000 0.000 0.000
Sc 3.167 -7.479 -2.002
Sc 4.806 -2.978 1.191
Bi 3.986 -5.228 -0.406
```

Computed properties:
Formation energy without anion corrections ... -0.467 eV/atom
N(E_F) ... 0.823 states/eV per atom
SG ... R-3m



A relaxed structure of ScBi3I, computed with PBEsol.

The structure in extended XYZ format:
```
5
Lattice="5.546 0.000 0.000 0.000 5.546 0.000 0.000 0.000 5.546" Properties=species:S:1:pos:R:3 pbc="T T T"
I 2.773 2.773 2.773
Sc 0.000 0.000 0.000
Bi 0.000 2.773 0.000
Bi 0.000 0.000 2.773
Bi 2.773 0.000 0.000
```

Computed properties:
Formation energy without anion corrections ... 0.109 eV/atom
N(E_F) ... 1.072 states/eV per atom
SG ... Pm-3m



A relaxed structure of ScBi3I, computed with PBEsol.

The structure in extended XYZ format:
```
5
Lattice="-0.477 3.915 4.215 -2.076 -4.062 3.538 5.366 -1.224 1.744" Properties=species:S:1:pos:R:3 pbc="T T T"
I 0.000 0.000 0.000
Sc 1.406 -0.685 4.749
Bi -1.038 -2.031 1.769
Bi 2.683 -0.612 0.872
Bi -0.239 1.958 2.108
```

Computed properties:
Formation energy without anion corrections ... 0.908 eV/atom
N(E_F) ... 1.265 states/eV per atom
SG ... Pm-3m



A relaxed structure of BiSeI, computed with PBEsol.

The structure in extended XYZ format:
```
12
Lattice="4.182 0.000 0.000 0.000 8.613 0.000 0.000 0.000 10.641" Properties=species:S:1:pos:R:3 pbc="T T T"
I 3.136 4.481 1.865
I 1.045 8.439 7.185
I 3.136 0.175 3.456
I 1.045 4.132 8.777
Bi 1.045 7.492 1.371
Bi 3.136 1.121 9.271
Bi 1.045 3.185 3.950
Bi 3.136 5.428 6.692
Se 3.136 7.123 10.111
Se 1.045 5.797 4.790
Se 3.136 2.816 5.851
Se 1.045 1.490 0.531
```

Computed properties:
Formation energy without anion corrections ... -0.415 eV/atom
SG ... Pnma



A relaxed structure of Sn2Bi2I, computed with PBEsol.

The structure in extended XYZ format:
```
5
Lattice="4.760 0.000 0.000 0.000 4.760 0.000 -2.380 -2.380 7.383" Properties=species:S:1:pos:R:3 pbc="T T T"
I 0.000 0.000 0.000
Bi 0.000 0.000 5.613
Bi 2.380 2.380 1.770
Sn 0.000 2.380 3.691
Sn 2.380 0.000 3.691
```

Computed properties:
Formation energy without anion corrections ... -0.068 eV/atom
N(E_F) ... 0.195 states/eV per atom
SG ... I4/mmm



A relaxed structure of SrBi3I, computed with PBEsol.

The structure in extended XYZ format:
```
5
Lattice="-1.535 -5.350 -2.373 -1.963 -1.840 5.420 -5.514 2.145 -1.269" Properties=species:S:1:pos:R:3 pbc="T T T"
I -4.506 -2.523 0.889
Sr 0.000 0.000 0.000
Bi -0.982 -0.920 2.710
Bi -2.757 1.073 -0.635
Bi -0.768 -2.675 -1.187
```

Computed properties:
Formation energy without anion corrections ... 0.679 eV/atom
N(E_F) ... 1.665 states/eV per atom
SG ... Pm-3m



A relaxed structure of TaBiI3, computed with PBEsol.

The structure in extended XYZ format:
```
5
Lattice="5.427 0.000 0.000 0.000 5.427 0.000 0.000 0.000 5.427" Properties=species:S:1:pos:R:3 pbc="T T T"
I 0.000 2.713 0.000
I 0.000 0.000 2.713
I 2.713 0.000 0.000
Bi 2.713 2.713 2.713
Ta 0.000 0.000 0.000
```

Computed properties:
Formation energy without anion corrections ... 0.469 eV/atom
N(E_F) ... 1.257 states/eV per atom
SG ... Pm-3m



A relaxed structure of TcBiI3, computed with PBEsol.

The structure in extended XYZ format:
```
5
Lattice="-1.816 -4.925 0.561 -0.335 -0.474 -5.247 4.945 -1.841 -0.149" Properties=species:S:1:pos:R:3 pbc="T T T"
I -0.167 -0.237 -2.624
I 2.473 -0.920 -0.075
I -0.908 -2.462 0.281
Bi 1.397 -3.620 -2.418
Tc 0.000 0.000 0.000
```

Computed properties:
Formation energy without anion corrections ... 0.470 eV/atom
N(E_F) ... 1.045 states/eV per atom
SG ... Pm-3m



A relaxed structure of BiTeI, computed with PBEsol.

The structure in extended XYZ format:
```
3
Lattice="-0.834 4.253 0.108 -1.785 -2.634 2.944 5.404 0.955 4.132" Properties=species:S:1:pos:R:3 pbc="T T T"
I 0.062 2.171 1.981
Te 3.636 0.642 2.780
Bi 3.515 0.542 5.809
```

Computed properties:
Formation energy without anion corrections ... -0.341 eV/atom
SG ... P3m1



A relaxed structure of TiBi2TeI, computed with PBEsol.

The structure in extended XYZ format:
```
5
Lattice="5.118 0.000 0.000 0.000 5.446 0.000 0.000 0.000 5.446" Properties=species:S:1:pos:R:3 pbc="T T T"
I 2.559 2.723 2.723
Te 2.559 0.000 0.000
Bi 0.000 0.000 2.723
Bi 0.000 2.723 0.000
Ti 0.000 0.000 0.000
```

Computed properties:
Formation energy without anion corrections ... -0.038 eV/atom
N(E_F) ... 0.577 states/eV per atom
SG ... P4/mmm



A relaxed structure of TlBiTe2I, computed with PBEsol.

The structure in extended XYZ format:
```
5
Lattice="5.657 0.000 0.000 0.000 5.657 0.000 0.000 0.000 5.702" Properties=species:S:1:pos:R:3 pbc="T T T"
I 0.000 0.000 2.851
Tl 0.000 0.000 0.000
Te 0.000 2.828 0.000
Te 2.828 0.000 0.000
Bi 2.828 2.828 2.851
```

Computed properties:
Formation energy without anion corrections ... 0.496 eV/atom
N(E_F) ... 0.776 states/eV per atom
SG ... P4/mmm



A relaxed structure of TiBi2I, computed with PBEsol.

The structure in extended XYZ format:
```
8
Lattice="5.910 0.000 0.000 0.000 5.910 0.000 -2.955 -2.955 8.632" Properties=species:S:1:pos:R:3 pbc="T T T"
I 0.000 2.955 4.316
I 0.000 0.000 0.000
Bi 2.186 4.433 2.158
Bi 3.724 1.478 2.158
Bi -1.478 -0.769 6.474
Bi 1.478 0.769 6.474
Ti 2.955 0.000 4.316
Ti 2.955 2.955 0.000
```

Computed properties:
Formation energy without anion corrections ... 0.436 eV/atom
N(E_F) ... 0.800 states/eV per atom
SG ... I-42d